A relaxed structure of Cs8RbAs2, computed with GGA-PBE.

a b c (Å): 11.5377 18.1060 7.4983
angles (deg): 90.00 96.76 90.00
Space group C2/m (No. 12)
One atom of each set of equivalent atoms:
1 Cs 0.0000 0.2252 0.0000
2 Cs 0.0860 0.0000 0.7454
3 Cs 0.1910 0.3498 0.5560
4 Rb 0.0000 0.5000 0.0000
5 As 0.0000 0.1754 0.5000

Output
ΔH_f (0 K), eV/atom: -0.18
M_tot, μB/f.u.: 0.006
Calculated total energy, eV per atom: -1.732

A relaxed structure of Cs2Rb2As5, computed with GGA-PBE.

a b c (Å): 15.7266 8.2622 10.6168
angles (deg): 90.00 90.00 90.00
Space group Ima2 (No. 46)
One atom of each set of equivalent atoms:
1 Cs 0.0000 0.0000 0.0000
2 Cs 0.2500 0.0638 0.9152
3 Rb 0.1274 0.5394 0.8825
4 As 0.0703 0.1678 0.6771
5 As 0.0931 0.6233 0.2029
6 As 0.2500 0.7112 0.1325

Output
ΔH_f (0 K), eV/atom: -0.30
M_tot, μB/f.u.: 0.000
Calculated total energy, eV per atom: -3.286

A relaxed structure of Cs8Rb6As, computed with GGA-PBE.

a b c (Å): 13.8389 13.8389 25.6224
angles (deg): 90.00 90.00 120.00
Space group R-3 (No. 148, hexagonal axes)
One atom of each set of equivalent atoms:
1 Cs 0.0000 0.0000 0.2436
2 Cs 0.0449 0.8184 0.4228
3 Rb 0.0598 0.8240 0.9208
4 As 0.0000 0.0000 0.5000

Output
ΔH_f (0 K), eV/atom: -0.08
M_tot, μB/f.u.: 0.000
Calculated total energy, eV per atom: -1.228

A relaxed structure of CsRb3As, computed with GGA-PBE.

a b c (Å): 6.1674 26.8423 6.0873
angles (deg): 90.00 90.27 90.00
Space group C2/c (No. 15)
One atom of each set of equivalent atoms:
1 Cs 0.0000 0.1744 0.2500
2 Rb 0.0000 0.0766 0.7500
3 Rb 0.0000 0.2505 0.7500
4 Rb 0.0000 0.4207 0.7500
5 As 0.0000 0.3291 0.2500

Output
ΔH_f (0 K), eV/atom: -0.12
Relative energy among the computed polymorphs, eV per atom: 0.000
M_tot, μB/f.u.: 0.000
Calculated total energy, eV per atom: -1.803

A relaxed structure of CsRb3As, computed with GGA-PBE.

a b c (Å): 6.9839 6.9839 6.9839
angles (deg): 90.00 90.00 90.00
Space group Pm-3m (No. 221)
One atom of each set of equivalent atoms:
1 Cs 0.0000 0.0000 0.0000
2 Rb 0.0000 0.5000 0.5000
3 As 0.5000 0.5000 0.5000

Output
ΔH_f (0 K), eV/atom: -0.11
Relative energy among the computed polymorphs, eV per atom: 0.014
M_tot, μB/f.u.: 0.001
Calculated total energy, eV per atom: -1.790

A relaxed structure of Cs5Rb5As, computed with GGA-PBE.

a b c (Å): 16.3204 7.4297 16.1715
angles (deg): 90.00 93.17 90.00
Space group C2/m (No. 12)
One atom of each set of equivalent atoms:
1 Cs 0.0000 0.0000 0.0000
2 Cs 0.0997 0.5000 0.1960
3 Cs 0.1789 0.5000 0.8977
4 Rb 0.0000 0.5000 0.5000
5 Rb 0.0941 0.0000 0.6779
6 Rb 0.2065 0.0000 0.4033
7 As 0.0000 0.5000 0.0000

Output
ΔH_f (0 K), eV/atom: -0.09
M_tot, μB/f.u.: 0.000
Calculated total energy, eV per atom: -1.337

A relaxed structure of CsRb5As2, computed with GGA-PBE.

a b c (Å): 5.9051 10.8208 13.5005
angles (deg): 90.00 90.00 90.00
Space group Immm (No. 71)
One atom of each set of equivalent atoms:
1 Cs 0.0000 0.0000 0.0000
2 Rb 0.0000 0.1805 0.3109
3 Rb 0.0000 0.5000 0.0000
4 As 0.0000 0.5000 0.2553

Output
ΔH_f (0 K), eV/atom: -0.19
M_tot, μB/f.u.: 0.000
Calculated total energy, eV per atom: -2.069

A relaxed structure of Cs2Rb5As2, computed with GGA-PBE.

a b c (Å): 6.7532 6.7552 12.9890
angles (deg): 92.97 93.35 96.87
Space group P-1 (No. 2)
One atom of each set of equivalent atoms:
1 Cs 0.2311 0.2278 0.0368
2 Rb 0.0000 0.0000 0.5000
3 Rb 0.1249 0.5646 0.7168
4 Rb 0.4370 0.8725 0.2843
5 As 0.0607 0.0615 0.7776

Output
ΔH_f (0 K), eV/atom: -0.20
M_tot, μB/f.u.: 0.000
Calculated total energy, eV per atom: -1.959

A relaxed structure of Cs3Rb2As4, computed with GGA-PBE.

a b c (Å): 6.3799 7.0413 10.4871
angles (deg): 93.84 99.43 115.94
Space group P-1 (No. 2)
One atom of each set of equivalent atoms:
1 Cs 0.0000 0.0000 0.0000
2 Cs 0.2052 0.8381 0.6277
3 Rb 0.4593 0.5365 0.2212
4 As 0.0820 0.7406 0.2804
5 As 0.1206 0.5393 0.9137

Output
ΔH_f (0 K), eV/atom: -0.37
M_tot, μB/f.u.: 0.000
Calculated total energy, eV per atom: -2.939

A relaxed structure of Cs2Rb2As, computed with GGA-PBE.

a b c (Å): 9.1317 9.1317 7.1903
angles (deg): 90.00 90.00 90.00
Space group P4/mbm (No. 127)
One atom of each set of equivalent atoms:
1 Cs 0.2084 0.2916 0.0000
2 Rb 0.1564 0.6564 0.5000
3 As 0.0000 0.0000 0.5000

Output
ΔH_f (0 K), eV/atom: -0.03
M_tot, μB/f.u.: 0.681
Calculated total energy, eV per atom: -1.690

Which value of ΔH_f (0 K) does entry 6 give? -0.09 eV/atom

Number 3 is which compound? Cs8Rb6As